# TlV2Zn2

TlV2Zn2 after structural relaxation (GGA-PBE, Alexandria via LeMat-Bulk).

ΔE_f ... 39.6 kJ/mol of atoms

Cell lengths 7.047, 7.047, 3.371 Å; angles 90.00, 90.00, 90.00 degrees
Fractional coordinates of all 10 atoms:
Tl 0.000 0.000 0.000
Tl 0.500 0.500 0.000
V 0.167 0.333 0.500
V 0.333 0.833 0.500
V 0.667 0.167 0.500
V 0.833 0.667 0.500
Zn 0.125 0.625 0.000
Zn 0.375 0.125 0.000
Zn 0.625 0.875 0.000
Zn 0.875 0.375 0.000

# ZrTlV2Zn

ZrTlV2Zn after structural relaxation (GGA-PBE, Alexandria via LeMat-Bulk).

ΔE_f ... 140.9 kJ/mol of atoms

Cell lengths 5.056, 5.056, 4.742 Å; angles 90.00, 90.00, 90.00 degrees
Fractional coordinates of all 5 atoms:
Zr 0.000 0.000 0.000
Tl 0.500 0.500 0.500
V 0.000 0.500 0.500
V 0.500 0.000 0.500
Zn 0.500 0.500 0.000

# ZrTl2VZn

ZrTl2VZn after structural relaxation (GGA-PBE, Alexandria via LeMat-Bulk).

ΔE_f ... 138.5 kJ/mol of atoms

Cell lengths 5.534, 5.534, 5.131 Å; angles 90.00, 90.00, 90.00 degrees
Fractional coordinates of all 5 atoms:
Zr 0.000 0.000 0.000
Tl 0.000 0.500 0.000
Tl 0.500 0.000 0.000
V 0.500 0.500 0.500
Zn 0.000 0.000 0.500